(1)
Below is an optimized crystal structure of Nd12AgPd6, with properties calculated at the PBE level.

* energy relative to the elements: -0.356 eV/atom
* total DFT energy (no corrections): -5.157 eV per atom

Geometry as POSCAR:
```
Nd12AgPd6
1.0
6.6574 3.8437 3.9137
-6.6574 3.8437 3.9137
0.0000 -7.6874 3.9137
Nd Ag Pd
12 1 6
direct
0.0607 0.9219 0.6712
0.0781 0.3288 0.9393
0.1760 0.5717 0.4160
0.3288 0.9393 0.0781
0.4160 0.1760 0.5717
0.4283 0.5841 0.8240
0.5717 0.4160 0.1760
0.5841 0.8240 0.4283
0.6712 0.0607 0.9219
0.8240 0.4283 0.5840
0.9219 0.6712 0.0607
0.9393 0.0781 0.3288
0.0000 0.0000 0.0000
0.1381 0.3132 0.6165
0.3132 0.6165 0.1381
0.3835 0.8619 0.6868
0.6165 0.1381 0.3132
0.6868 0.3835 0.8619
0.8619 0.6868 0.3835
```

=====

(2)
Below is an optimized crystal structure of Nd4AgPd12, with properties calculated at the PBE level.

* energy relative to the elements: -0.702 eV/atom
* total DFT energy (no corrections): -5.657 eV per atom

Geometry as POSCAR:
```
Nd4AgPd12
1.0
-4.3324 4.3324 4.3324
4.3324 -4.3324 4.3324
4.3324 4.3324 -4.3324
Nd Ag Pd
4 1 12
direct
0.0000 0.0000 0.5000
0.0000 0.5000 0.0000
0.5000 0.0000 0.0000
0.5000 0.5000 0.5000
0.0000 0.0000 0.0000
0.0000 0.3033 0.3033
0.0000 0.6967 0.6967
0.2500 0.5000 0.7500
0.2500 0.7500 0.5000
0.3033 0.0000 0.3033
0.3033 0.3033 0.0000
0.5000 0.2500 0.7500
0.5000 0.7500 0.2500
0.6967 0.0000 0.6967
0.6967 0.6967 0.0000
0.7500 0.2500 0.5000
0.7500 0.5000 0.2500
```

=====

(3)
Below is an optimized crystal structure of Nd12Ag6Pd, with properties calculated at the PBE level.

* energy relative to the elements: -0.099 eV/atom
* total DFT energy (no corrections): -4.283 eV per atom

Geometry as POSCAR:
```
Nd12Ag6Pd
1.0
5.7097 3.2965 4.7446
-5.7097 3.2965 4.7446
0.0000 -6.5930 4.7446
Nd Ag Pd
12 6 1
direct
0.0406 0.9489 0.3058
0.0511 0.6942 0.9594
0.1466 0.4900 0.3651
0.3058 0.0406 0.9489
0.3651 0.1466 0.4900
0.4900 0.3651 0.1466
0.5100 0.6349 0.8534
0.6349 0.8534 0.5100
0.6942 0.9594 0.0511
0.8534 0.5100 0.6349
0.9489 0.3058 0.0406
0.9594 0.0511 0.6942
0.2283 0.3901 0.7590
0.2410 0.7717 0.6099
0.3901 0.7590 0.2283
0.6099 0.2410 0.7717
0.7590 0.2283 0.3901
0.7717 0.6099 0.2410
0.5000 0.5000 0.5000
```

=====

(4)
Below is an optimized crystal structure of NdAg2Pd5, with properties calculated at the PBE level.

* energy relative to the elements: -0.391 eV/atom
* total DFT energy (no corrections): -4.945 eV per atom

Geometry as POSCAR:
```
NdAg2Pd5
1.0
4.2221 0.0000 0.0000
0.0000 4.2221 0.0000
0.0000 0.0000 15.8128
Nd Ag Pd
2 4 10
direct
0.0000 0.0000 0.0000
0.5000 0.5000 0.5000
0.0000 0.0000 0.2507
0.0000 0.0000 0.7493
0.5000 0.5000 0.2493
0.5000 0.5000 0.7507
0.0000 0.0000 0.5000
0.0000 0.5000 0.1295
0.0000 0.5000 0.3705
0.0000 0.5000 0.6295
0.0000 0.5000 0.8705
0.5000 0.0000 0.1295
0.5000 0.0000 0.3705
0.5000 0.0000 0.6295
0.5000 0.0000 0.8705
0.5000 0.5000 0.0000
```